(1)
Entry from Alexandria via LeMat-Bulk: Na22In5O15 after structural relaxation (GGA-PBE).

Cell and atoms, written as POSCAR:
```
Na22In5O15
1.0
-0.724 -8.713 -4.288
5.563 5.859 -5.436
8.788 -3.863 -0.895
Na In O
22 5 15
Cartesian
6.256 0.889 -5.232
3.360 -5.822 -4.703
5.853 -4.687 -3.542
7.215 -1.530 -3.791
4.429 -2.273 -4.595
11.148 -0.449 -6.001
7.649 -8.558 -5.362
6.563 -5.936 -6.147
9.193 1.573 -7.100
8.459 -1.543 -6.493
4.778 -8.658 -6.293
2.893 -1.424 -2.231
4.183 -0.297 -6.844
2.701 -3.731 -6.573
5.966 -7.582 -3.113
9.413 0.405 -3.743
7.442 -5.753 -8.860
8.776 -2.662 -9.104
10.020 -4.920 -7.557
2.984 0.793 -4.130
1.242 -3.242 -3.811
8.987 -4.273 -5.013
5.941 -3.120 -7.060
4.837 -2.847 -9.637
6.169 -2.716 -0.689
8.494 -6.338 -2.139
10.306 -2.138 -2.470
6.162 -1.345 -5.900
4.875 -4.329 -5.664
4.238 -6.277 -2.577
7.311 0.843 -3.138
5.192 -2.438 -2.507
2.690 -7.932 -5.898
9.676 -1.879 -4.512
7.756 -6.327 -4.161
7.255 2.645 -6.732
5.564 -9.563 -4.017
10.519 1.919 -4.922
12.912 -2.035 -6.711
9.969 -8.854 -6.174
2.350 -1.384 -4.694
7.909 -3.984 -7.246
```

Calculated values
electronic total energy	-0.1482	hartree per atom

(2)
Entry from Alexandria via LeMat-Bulk: NaInO2 after structural relaxation (GGA-PBE).

Cell and atoms, written as POSCAR:
```
NaInO2
1.0
-3.274 -0.002 -0.093
1.697 -1.954 -2.008
-0.214 -8.166 7.764
Na In O
2 2 4
Cartesian
-1.671 -2.694 1.210
-0.121 -7.428 4.453
-0.107 -4.083 3.882
0.000 0.000 0.000
-0.045 -4.524 1.692
-1.809 -7.956 6.213
-1.747 -5.598 3.970
0.017 -2.166 -0.550
```

Calculated values
electronic total energy	-0.1879	hartree per atom

(3)
Entry from Alexandria via LeMat-Bulk: Na14In2O9 after structural relaxation (GGA-PBE).

Cell and atoms, written as POSCAR:
```
Na14In2O9
1.0
6.922 0.000 0.000
-3.461 5.994 0.000
0.000 0.000 9.586
Na In O
14 2 9
Cartesian
-2.030 4.136 8.721
-1.094 5.535 5.663
-0.786 2.279 5.663
0.000 0.000 2.397
0.000 0.000 7.189
0.894 2.168 8.721
1.136 5.684 8.721
1.581 1.820 3.923
1.880 4.175 5.663
2.324 0.310 0.865
2.567 3.826 0.865
4.246 3.715 3.923
4.555 0.459 3.923
5.491 1.858 0.865
0.000 3.996 2.512
3.461 1.998 7.074
-1.198 5.655 3.244
-0.837 2.130 3.244
0.000 3.996 0.358
0.000 0.000 0.000
1.426 1.790 6.342
2.035 4.204 3.244
3.461 1.998 9.228
4.298 3.865 6.342
4.659 0.340 6.342
```

Calculated values
electronic total energy	-0.1462	hartree per atom